Entry 1:
A geometry-optimized LiDy3S4 structure. Source: Alexandria via LeMat-Bulk, functional PBE.

Geometry as CIF:
```
data_LiDy3S4
_chemical_formula_sum 'Li1 Dy3 S4'
_space_group_name_H-M_alt 'P 1'
_space_group_IT_number 1
_cell_length_a 5.4870
_cell_length_b 5.4870
_cell_length_c 5.4870
_cell_angle_alpha 90.00
_cell_angle_beta 90.00
_cell_angle_gamma 90.00
loop_
_space_group_symop_operation_xyz
'x,y,z'
loop_
_atom_site_label
_atom_site_type_symbol
_atom_site_fract_x
_atom_site_fract_y
_atom_site_fract_z
S1 S 0.5000 0.0000 0.0000
S2 S 0.0000 0.5000 0.0000
S3 S 0.0000 0.0000 0.5000
S4 S 0.5000 0.5000 0.5000
Dy1 Dy 0.0000 0.5000 0.5000
Dy2 Dy 0.5000 0.0000 0.5000
Dy3 Dy 0.5000 0.5000 0.0000
Li1 Li 0.0000 0.0000 0.0000
```

Computed properties:
Magnetization ... 0.0 μB/cell
Uncorrected formation energy ... -1514 kJ/mol of formula units
Distance to the lowest polymorph of the same formula ... 0.000 eV/atom
VASP energy ... -5.99 eV/atom
Calculated volume ... 165 Å³/cell

***

Entry 2:
A geometry-optimized LaEu2Mg structure. Source: Alexandria via LeMat-Bulk, functional PBE.

Geometry as CIF:
```
data_LaEu2Mg
_chemical_formula_sum 'La1 Eu2 Mg1'
_space_group_name_H-M_alt 'P 1'
_space_group_IT_number 1
_cell_length_a 5.8002
_cell_length_b 5.8002
_cell_length_c 5.8002
_cell_angle_alpha 60.00
_cell_angle_beta 60.00
_cell_angle_gamma 60.00
loop_
_space_group_symop_operation_xyz
'x,y,z'
loop_
_atom_site_label
_atom_site_type_symbol
_atom_site_fract_x
_atom_site_fract_y
_atom_site_fract_z
Eu1 Eu 0.2500 0.2500 0.2500
Eu2 Eu 0.7500 0.7500 0.7500
Mg1 Mg 0.5000 0.5000 0.5000
La1 La 0.0000 0.0000 0.0000
```

Computed properties:
E_form ... 0.33 eV per formula unit
Magnetization ... 15.5 μB/cell
Distance to the lowest polymorph of the same formula ... 0.067 eV/atom
VASP energy ... -6.69 eV/atom
Calculated volume ... 138 Å³/cell

***

Entry 3:
A geometry-optimized Ac2TcSn8 structure. Source: Alexandria via LeMat-Bulk, functional PBE.

Geometry as CIF:
```
data_Ac2TcSn8
_chemical_formula_sum 'Ac2 Tc1 Sn8'
_space_group_name_H-M_alt 'P 1'
_space_group_IT_number 1
_cell_length_a 4.8590
_cell_length_b 4.8590
_cell_length_c 12.7274
_cell_angle_alpha 90.00
_cell_angle_beta 90.00
_cell_angle_gamma 90.00
loop_
_space_group_symop_operation_xyz
'x,y,z'
loop_
_atom_site_label
_atom_site_type_symbol
_atom_site_fract_x
_atom_site_fract_y
_atom_site_fract_z
Ac1 Ac 0.0000 0.0000 0.3034
Ac2 Ac 0.0000 0.0000 0.6966
Tc1 Tc 0.0000 0.0000 0.0000
Sn1 Sn 0.0000 0.5000 0.5000
Sn2 Sn 0.5000 0.0000 0.5000
Sn3 Sn 0.5000 0.5000 0.3067
Sn4 Sn 0.5000 0.5000 0.6933
Sn5 Sn 0.0000 0.5000 0.1160
Sn6 Sn 0.5000 0.0000 0.1160
Sn7 Sn 0.0000 0.5000 0.8840
Sn8 Sn 0.5000 0.0000 0.8840
```

Computed properties:
E_form ... -4.07 eV per formula unit
Magnetization ... 0.0 μB/cell
VASP energy ... -4.97 eV/atom
Calculated volume ... 300 Å³/cell

***

Entry 4:
A geometry-optimized PmNd4Tm4 structure. Source: Alexandria via LeMat-Bulk, functional PBE.

Geometry as CIF:
```
data_PmNd4Tm4
_chemical_formula_sum 'Pm1 Nd4 Tm4'
_space_group_name_H-M_alt 'P 1'
_space_group_IT_number 1
_cell_length_a 5.0533
_cell_length_b 8.0415
_cell_length_c 8.0415
_cell_angle_alpha 84.33
_cell_angle_beta 71.69
_cell_angle_gamma 71.69
loop_
_space_group_symop_operation_xyz
'x,y,z'
loop_
_atom_site_label
_atom_site_type_symbol
_atom_site_fract_x
_atom_site_fract_y
_atom_site_fract_z
Pm1 Pm 0.0000 0.0000 0.0000
Nd1 Nd 0.6699 0.3299 0.3302
Nd2 Nd 0.3301 0.6701 0.6698
Nd3 Nd 0.0001 0.6698 0.3299
Nd4 Nd 0.9999 0.3302 0.6701
Tm1 Tm 0.6665 0.6670 0.0000
Tm2 Tm 0.3335 0.3330 0.0000
Tm3 Tm 0.6665 0.0000 0.6670
Tm4 Tm 0.3335 0.0000 0.3330
```

Computed properties:
E_form ... 0.19 eV per formula unit
Magnetization ... 0.0 μB/cell
VASP energy ... -4.61 eV/atom
Calculated volume ... 295 Å³/cell

***

Entry 5:
A geometry-optimized Tb2GePd structure. Source: Alexandria via LeMat-Bulk, functional PBE.

Geometry as CIF:
```
data_Tb2GePd
_chemical_formula_sum 'Tb4 Ge2 Pd2'
_space_group_name_H-M_alt 'P 1'
_space_group_IT_number 1
_cell_length_a 4.3314
_cell_length_b 5.8721
_cell_length_c 7.8453
_cell_angle_alpha 110.32
_cell_angle_beta 90.00
_cell_angle_gamma 90.00
loop_
_space_group_symop_operation_xyz
'x,y,z'
loop_
_atom_site_label
_atom_site_type_symbol
_atom_site_fract_x
_atom_site_fract_y
_atom_site_fract_z
Tb1 Tb 0.7500 0.2204 0.4390
Tb2 Tb 0.2500 0.7796 0.5610
Tb3 Tb 0.2500 0.7770 0.0832
Tb4 Tb 0.7500 0.2230 0.9168
Ge1 Ge 0.2500 0.3252 0.2055
Ge2 Ge 0.7500 0.6748 0.7945
Pd1 Pd 0.7500 0.6481 0.2890
Pd2 Pd 0.2500 0.3519 0.7110
```

Computed properties:
E_form ... -3.54 eV per formula unit
Magnetization ... 0.0 μB/cell
VASP energy ... -5.65 eV/atom
Calculated volume ... 187 Å³/cell

***

Entry 6:
A geometry-optimized La5Pm5Pr2 structure. Source: Alexandria via LeMat-Bulk, functional PBE.

Geometry as CIF:
```
data_La5Pm5Pr2
_chemical_formula_sum 'La5 Pm5 Pr2'
_space_group_name_H-M_alt 'P 1'
_space_group_IT_number 1
_cell_length_a 5.2311
_cell_length_b 11.0828
_cell_length_c 8.2898
_cell_angle_alpha 98.65
_cell_angle_beta 71.61
_cell_angle_gamma 76.35
loop_
_space_group_symop_operation_xyz
'x,y,z'
loop_
_atom_site_label
_atom_site_type_symbol
_atom_site_fract_x
_atom_site_fract_y
_atom_site_fract_z
La1 La 0.6679 0.2492 0.4150
La2 La 0.0000 0.2492 0.7508
La3 La 0.0000 0.7508 0.2492
La4 La 0.3321 0.7508 0.5850
La5 La 0.0000 0.0000 0.0000
Pm1 Pm 0.0000 0.5000 0.5000
Pm2 Pm 0.6668 0.7495 0.9169
Pm3 Pm 0.3330 0.0001 0.3339
Pm4 Pm 0.6670 0.9999 0.6661
Pm5 Pm 0.3332 0.2505 0.0831
Pr1 Pr 0.3338 0.5001 0.8323
Pr2 Pr 0.6662 0.4999 0.1677
```

Computed properties:
E_form ... 0.20 eV per formula unit
Magnetization ... 0.0 μB/cell
Distance to the lowest polymorph of the same formula ... 0.000 eV/atom
VASP energy ... -4.81 eV/atom
Calculated volume ... 430 Å³/cell